[1]
DFT (PBE) results for an optimized crystal structure of Y3Ga9Pt2.

CIF file:
```
data_Y3Ga9Pt2
_space_group_name_H-M_alt 'I m m m'
_space_group_IT_number 71
_space_group_name_Hall '-I 2 2'
_cell_length_a 4.232
_cell_length_b 10.052
_cell_length_c 12.321
_cell_angle_alpha 90.00
_cell_angle_beta 90.00
_cell_angle_gamma 90.00
loop_
_atom_site_label
_atom_site_fract_x
_atom_site_fract_y
_atom_site_fract_z
Y1 0.000 0.000 0.000
Y2 0.000 0.000 0.323
Ga1 0.000 0.278 0.129
Ga2 0.000 0.375 0.332
Ga3 0.000 0.500 0.000
Pt1 0.000 0.226 0.500
```

## Properties
As for the size of the total moment: 0.00 Bohr magnetons per cell. For the volume, the calculation gives 18.72 Å³ per atom. For the formation energy, the calculation gives -0.7025 eV per atom.

[2]
DFT (PBE) results for an optimized crystal structure of InGa3P.

CIF file:
```
data_InGa3P
_space_group_name_H-M_alt 'P m -3 m'
_space_group_IT_number 221
_space_group_name_Hall '-P 4 2 3'
_cell_length_a 5.172
_cell_length_b 5.172
_cell_length_c 5.172
_cell_angle_alpha 90.00
_cell_angle_beta 90.00
_cell_angle_gamma 90.00
loop_
_atom_site_label
_atom_site_fract_x
_atom_site_fract_y
_atom_site_fract_z
In1 0.000 0.000 0.000
Ga1 0.000 0.000 0.500
P1 0.500 0.500 0.500
```

## Properties
As for the size of the total moment: 0.00 Bohr magnetons per cell. For the volume, the calculation gives 27.67 Å³ per atom. For the formation energy, the calculation gives 0.7976 eV per atom.